A geometry-optimized HoUSi2 structure, computed with PBE.

Results
The calculation puts the total energy at -6.922 eV/atom. The calculation puts the raw formation energy at -0.244 eV per atom.

Cell: 4.0898 4.0898 19.4791 Å, 90.00 90.00 120.00°
With the nearest neighbours (Å) after each atom.
Space group R-3m (No. 166, hexagonal axes)
Inequivalent atoms, fractional coordinates:
Ho  0.0000  0.0000  0.0000  6 Si 2.93
U  0.0000  0.0000  0.5000  6 Si 2.81
Si  0.0000  0.0000  0.2445  3 U 2.81, 3 Ho 2.93


A geometry-optimized Tc3Ir5 structure, computed with PBE.

Results
The calculated formation energy comes out at 2.54 kcal/mol of atoms. The calculation puts the total energy at -9.315 eV/atom. As for the energy relative to the lowest polymorph listed for this composition: 2.10 eV per formula unit.

Cell: 4.9687 13.9108 7.1835 Å, 90.00 103.64 90.00°
With the nearest neighbours (Å) after each atom.
Space group Cm (No. 8)
Inequivalent atoms, fractional coordinates:
Tc  0.0000  0.0000  0.0000  7 Ir 2.65-2.96, 1 Tc 2.80
Tc  0.0684  0.5000  0.6690  10 Ir 2.62-2.89, 1 Tc 2.80
Tc  0.3361  0.3307  0.3576  8 Ir 2.56-2.81
Tc  0.4366  0.2833  0.9633  6 Ir 2.52-2.75, 2 Tc 2.65
Ir  0.0321  0.4012  0.9729  4 Tc 2.61-2.67, 5 Ir 2.63-2.79
Ir  0.0371  0.3003  0.6389  5 Tc 2.69-2.81, 7 Ir 2.79-2.93
Ir  0.0644  0.0973  0.6955  5 Tc 2.62-2.89, 6 Ir 2.66-2.93
Ir  0.1032  0.5000  0.2934  6 Ir 2.50-2.64, 3 Tc 2.62-2.74
Ir  0.1216  0.0000  0.3890  6 Ir 2.50-2.66, 4 Tc 2.62-2.73
Ir  0.2976  0.1556  0.2459  4 Tc 2.52-2.61, 3 Ir 2.62-2.63


A geometry-optimized Sr3TiTc structure, computed with PBE.

Results
The calculated formation energy comes out at 35.81 kcal/mol of atoms. The calculation puts the total energy at -3.108 eV/atom.

Cell: 5.9186 5.9186 5.9186 Å, 90.00 90.00 90.00°
With the nearest neighbours (Å) after each atom.
Space group Pm-3m (No. 221)
Inequivalent atoms, fractional coordinates:
Sr  0.0000  0.0000  0.5000  2 Ti 2.96
Ti  0.0000  0.0000  0.0000  6 Sr 2.96
Tc  0.5000  0.5000  0.5000  12 Sr 4.19